1.
Al2InBiSe6 | PBE-GGA | relaxed

Structure (POSCAR):
```
Al2InBiSe6
1.0
6.9025 -0.3338 -0.3464
1.8018 8.8198 0.2271
1.8018 -0.0999 8.8221
Al Se Bi In
4 12 2 2
Direct
0.7057 0.6039 0.7736
0.2057 0.7736 0.6039
0.2943 0.3961 0.2264
0.7943 0.2264 0.3961
0.6570 0.7823 0.9759
0.8969 0.3872 0.8776
0.1570 0.9759 0.7823
0.6031 0.1224 0.6128
0.8430 0.0241 0.2177
0.6171 0.4377 0.2755
0.1171 0.2755 0.4377
0.3969 0.8776 0.3872
0.8829 0.7245 0.5623
0.1031 0.6128 0.1224
0.3430 0.2177 0.0241
0.3829 0.5623 0.7245
0.2500 0.8983 0.1017
0.7500 0.1017 0.8983
0.7500 0.7154 0.2846
0.2500 0.2846 0.7154
```

Values from the calculation:
Total moment (μB/atom): 0.00
Formation energy from raw total energies (eV/atom): -0.60

=====

2.
AlIn2BiSe6 | PBE-GGA | relaxed

Structure (POSCAR):
```
AlIn2BiSe6
1.0
-3.8791 -5.5500 -2.3752
5.3646 -8.1572 2.5000
-6.2165 -2.2484 7.6071
Al In Se Bi
2 4 12 2
Direct
0.2500 0.1669 0.8331
0.7500 0.8331 0.1669
0.6084 0.3295 0.5206
0.3916 0.6705 0.4794
0.8916 0.4794 0.6705
0.1084 0.5206 0.3295
0.4944 0.5495 0.6970
0.4496 0.8861 0.3520
0.6809 0.8187 0.9437
0.3191 0.1813 0.0563
0.5056 0.4505 0.3030
0.9496 0.3520 0.8861
0.8191 0.0563 0.1813
0.0504 0.6480 0.1139
0.0056 0.3030 0.4505
0.5504 0.1139 0.6480
0.9944 0.6970 0.5495
0.1809 0.9437 0.8187
0.7500 0.0830 0.9170
0.2500 0.9170 0.0830
```

Values from the calculation:
Total moment (μB/atom): 0.00
Formation energy from raw total energies (eV/atom): -0.54

=====

3.
AlZnInBi | PBE-GGA | relaxed

Structure (POSCAR):
```
AlZnInBi
1.0
5.1322 0.0000 0.0000
2.5661 4.4446 0.0000
2.5661 1.4815 4.1904
Al In Bi Zn
1 1 1 1
Direct
0.2500 0.2500 0.2500
0.0000 0.0000 0.0000
0.5000 0.5000 0.5000
0.7500 0.7500 0.7500
```

Values from the calculation:
Total moment (μB/atom): 0.00
Formation energy from the elements (eV per atom): 0.177

=====

4.
AlBiIr3 | PBE-GGA | relaxed

Structure (POSCAR):
```
AlBiIr3
1.0
4.9489 0.0000 0.0000
0.0000 4.9489 0.0000
0.0000 0.0000 4.9489
Ir Bi Al
3 1 1
Direct
0.0000 0.0000 0.5000
0.0000 0.5000 0.0000
0.5000 0.0000 0.0000
0.0000 0.0000 0.0000
0.5000 0.5000 0.5000
```

Values from the calculation:
Total moment (μB/atom): 0.00
Formation energy from the elements (eV per atom): 2.018

=====

5.
Al2BiIr | PBE-GGA | relaxed

Structure (POSCAR):
```
Al2BiIr
1.0
5.9413 0.0000 0.0000
0.0000 5.9413 0.0000
2.9707 2.9707 6.0897
Al Ir Bi
4 2 2
Direct
0.1887 0.6250 0.2500
0.3750 0.4387 0.7500
0.5613 0.1250 0.2500
0.8750 0.8113 0.7500
0.5000 0.5000 0.0000
0.2500 0.7500 0.5000
0.7500 0.2500 0.5000
0.0000 0.0000 0.0000
```

Values from the calculation:
Total moment (μB/atom): 0.00
Formation energy from the elements (eV per atom): 0.207

=====

6.
AlBi2Ir | PBE-GGA | relaxed

Structure (POSCAR):
```
AlBi2Ir
1.0
-1.7953 3.8916 -4.7412
0.9905 -4.6914 -4.2257
-6.3117 -2.2760 -3.7858
Al Bi Ir
2 4 2
Direct
0.2500 0.7500 0.5000
0.5000 0.5000 0.0000
0.6515 0.1250 0.2500
0.0985 0.6250 0.2500
0.3750 0.3485 0.7500
0.8750 0.9015 0.7500
0.0000 0.0000 0.0000
0.7500 0.2500 0.5000
```

Values from the calculation:
Total moment (μB/atom): 0.00
Formation energy from the elements (eV per atom): 0.468

=====

7.
AlBiIr3 | PBE-GGA | relaxed

Structure (POSCAR):
```
AlBiIr3
1.0
4.5784 0.0000 0.0000
0.0000 4.5784 0.0000
0.0000 0.0000 4.5784
Ir Al Bi
3 1 1
Direct
0.5000 0.0000 0.0000
0.0000 0.0000 0.5000
0.0000 0.5000 0.0000
0.0000 0.0000 0.0000
0.5000 0.5000 0.5000
```

Values from the calculation:
Total moment (μB/atom): 0.00
Formation energy from the elements (eV per atom): 0.759

=====

8.
Al2BiIr2 | PBE-GGA | relaxed

Structure (POSCAR):
```
Al2BiIr2
1.0
7.6101 0.0000 0.0000
0.0000 7.6101 0.0000
0.0000 0.0000 2.9455
Bi Ir Al
2 4 4
Direct
0.0000 0.0000 0.0000
0.5000 0.5000 0.0000
0.8497 0.6503 0.0000
0.1503 0.3497 0.0000
0.6503 0.1503 0.0000
0.3497 0.8497 0.0000
0.8618 0.3618 0.5000
0.3618 0.1382 0.5000
0.6382 0.8618 0.5000
0.1382 0.6382 0.5000
```

Values from the calculation:
Total moment (μB/atom): 0.00
Formation energy from the elements (eV per atom): -0.404

=====

9.
AlBiIrO6 | PBE-GGA | relaxed

Structure (POSCAR):
```
AlBiIrO6
1.0
-2.4540 -3.3209 3.0268
4.0878 2.5303 1.7605
-5.8385 7.2167 3.1842
O Ir Al Bi
12 2 2 2
Direct
0.6340 0.6283 0.1425
0.6283 0.6340 0.6425
0.6283 0.9943 0.8575
0.6340 0.0057 0.3575
0.0057 0.6340 0.8575
0.0057 0.3717 0.6425
0.9943 0.6283 0.3575
0.3717 0.0057 0.1425
0.3660 0.9943 0.6425
0.3660 0.3717 0.8575
0.9943 0.3660 0.1425
0.3717 0.3660 0.3575
0.6667 0.3333 0.7500
0.3333 0.6667 0.2500
0.6667 0.3333 0.2500
0.3333 0.6667 0.7500
0.0000 0.0000 0.0000
0.0000 0.0000 0.5000
```

Values from the calculation:
Total moment (μB/atom): 0.15
Formation energy from raw total energies (eV/atom): -1.45

=====

10.
Al2BiIrPd | PBE-GGA | relaxed

Structure (POSCAR):
```
Al2BiIrPd
1.0
5.2680 0.0000 0.0000
0.0000 4.9804 0.0000
0.0000 0.0000 5.2680
Ir Bi Pd Al
1 1 1 2
Direct
0.5000 0.5000 0.5000
0.0000 0.0000 0.0000
0.0000 0.5000 0.0000
0.5000 0.0000 0.0000
0.0000 0.0000 0.5000
```

Values from the calculation:
Total moment (μB/atom): 0.29
Formation energy from the elements (eV per atom): 1.581

=====

11.
AlBiSb2Ir | PBE-GGA | relaxed

Structure (POSCAR):
```
AlBiSb2Ir
1.0
-0.2772 -5.1482 -2.3829
0.2855 -2.1885 4.6950
-5.6643 0.1197 0.4002
Ir Bi Al Sb
1 1 1 2
Direct
0.5000 0.5000 0.5000
0.0000 0.0000 0.0000
0.0000 0.5000 0.0000
0.5000 0.0000 0.0000
0.0000 0.0000 0.5000
```

Values from the calculation:
Total moment (μB/atom): 0.17
Formation energy from raw total energies (eV/atom): 1.80

=====

12.
TaAlBi2Ir | PBE-GGA | relaxed

Structure (POSCAR):
```
TaAlBi2Ir
1.0
5.2873 0.0000 0.0000
0.0000 4.4677 0.0000
0.0000 0.0000 5.2873
Bi Al Ir Ta
2 1 1 1
Direct
0.0000 0.0000 0.5000
0.5000 0.0000 0.0000
0.0000 0.0000 0.0000
0.0000 0.5000 0.0000
0.5000 0.5000 0.5000
```

Values from the calculation:
Total moment (μB/atom): 0.25
Formation energy from the elements (eV per atom): 1.247

=====

13.
K3Al2Bi4 | PBE-GGA | relaxed

Structure (POSCAR):
```
K3Al2Bi4
1.0
8.1424 0.6821 0.4884
1.4119 9.4071 -0.6569
1.4119 2.4092 9.1171
Bi Al K
8 4 6
Direct
0.4606 0.9323 0.3057
0.1655 0.2166 0.4062
0.0394 0.6943 0.0677
0.6655 0.4062 0.2166
0.9606 0.3057 0.9323
0.3345 0.5938 0.7834
0.5394 0.0677 0.6943
0.8345 0.7834 0.5938
0.4862 0.8196 0.5961
0.0138 0.4039 0.1804
0.5138 0.1804 0.4039
0.9862 0.5961 0.8196
0.9416 0.0143 0.2510
0.2500 0.5880 0.4120
0.5584 0.7490 0.9857
0.7500 0.4120 0.5880
0.4416 0.2510 0.0143
0.0584 0.9857 0.7490
```

Values from the calculation:
Total moment (μB/atom): 0.00
Formation energy from the elements (eV per atom): -0.195

=====

14.
K2AlBi | PBE-GGA | relaxed

Structure (POSCAR):
```
K2AlBi
1.0
-2.0917 -0.4164 4.3320
-0.0246 -4.8051 -0.4738
10.0214 -3.1895 7.2232
Bi K Al
2 4 2
Direct
0.7500 0.2500 0.5000
0.0000 0.0000 0.0000
0.6228 0.1250 0.2500
0.3750 0.3772 0.7500
0.1272 0.6250 0.2500
0.8750 0.8728 0.7500
0.2500 0.7500 0.5000
0.5000 0.5000 0.0000
```

Values from the calculation:
Total moment (μB/atom): 0.15
Formation energy from the elements (eV per atom): 0.271

=====

15.
KAlBi | PBE-GGA | relaxed

Structure (POSCAR):
```
KAlBi
1.0
-2.0188 5.3670 1.4466
-4.3276 -1.6255 -0.0086
2.5014 -0.1066 3.8861
Bi Al K
1 1 1
Direct
0.2403 0.3333 0.6667
0.0814 0.0000 0.0000
0.6783 0.6667 0.3333
```

Values from the calculation:
Total moment (μB/atom): 0.00
Formation energy from the elements (eV per atom): -0.041

=====

16.
KAlBi2 | PBE-GGA | relaxed

Structure (POSCAR):
```
KAlBi2
1.0
3.9491 0.0000 0.0000
1.9746 3.4201 0.0000
1.9746 1.1400 9.5605
K Al Bi
1 1 2
Direct
0.5000 0.5000 0.5000
0.0000 0.0000 0.0000
0.2685 0.2685 0.1946
0.7315 0.7315 0.8054
```

Values from the calculation:
Total moment (μB/atom): 0.00
Formation energy from the elements (eV per atom): -0.037

=====

17.
K2AlBi | PBE-GGA | relaxed

Structure (POSCAR):
```
K2AlBi
1.0
0.0000 4.1506 4.1506
4.1506 0.0000 4.1506
4.1506 4.1506 0.0000
Al Bi K
1 1 2
Direct
0.0000 0.0000 0.0000
0.5000 0.5000 0.5000
0.2500 0.2500 0.2500
0.7500 0.7500 0.7500
```

Values from the calculation:
Total moment (μB/atom): 0.00
Formation energy from the elements (eV per atom): 0.096

=====

18.
K6AlBi4 | PBE-GGA | relaxed

Structure (POSCAR):
```
K6AlBi4
1.0
-6.2570 0.8292 4.7704
1.0352 -11.2643 3.3158
5.6653 8.4437 5.9632
Bi K Al
8 12 2
Direct
0.8550 0.1971 0.8029
0.8550 0.6058 0.8029
0.9717 0.6667 0.3333
0.3550 0.8029 0.1971
0.4717 0.3333 0.6667
0.8550 0.1971 0.3942
0.3550 0.3942 0.1971
0.3550 0.8029 0.6058
0.6399 0.5163 0.0327
0.4018 0.1466 0.8534
0.9018 0.8534 0.1466
0.4018 0.1466 0.2931
0.6399 0.9673 0.4837
0.1399 0.0327 0.5163
0.4018 0.7069 0.8534
0.9018 0.2931 0.1466
0.1399 0.4837 0.9673
0.9018 0.8534 0.7069
0.6399 0.5163 0.4837
0.1399 0.4837 0.5163
0.3304 0.6667 0.3333
0.8304 0.3333 0.6667
```

Values from the calculation:
Total moment (μB/atom): 0.25
Formation energy from the elements (eV per atom): -0.266

=====

19.
KAlBi | PBE-GGA | relaxed

Structure (POSCAR):
```
KAlBi
1.0
7.1306 0.0000 0.0000
-3.5653 6.1753 0.0000
0.0000 0.0000 7.3321
K Bi Al
3 3 3
Direct
0.1119 0.6984 0.9361
0.5865 0.8881 0.2694
0.3016 0.4135 0.6028
0.9737 0.7722 0.4677
0.7985 0.0263 0.8011
0.2278 0.2015 0.1344
0.5893 0.2746 0.9295
0.6853 0.4107 0.2628
0.7254 0.3147 0.5962
```

Values from the calculation:
Total moment (μB/atom): 0.00
Formation energy from the elements (eV per atom): -0.015

=====

20.
KAlBi2 | PBE-GGA | relaxed

Structure (POSCAR):
```
KAlBi2
1.0
-5.6134 1.3516 1.6894
-2.1186 -2.4818 -5.0541
-4.5467 -8.8080 2.6506
Al Bi K
2 4 2
Direct
0.5000 0.5000 0.0000
0.2500 0.7500 0.5000
0.8750 0.7313 0.7500
0.2687 0.6250 0.2500
0.4813 0.1250 0.2500
0.3750 0.5187 0.7500
0.0000 0.0000 0.0000
0.7500 0.2500 0.5000
```

Values from the calculation:
Total moment (μB/atom): 0.00
Formation energy from the elements (eV per atom): 0.033

=====

21.
KAl2Bi | PBE-GGA | relaxed

Structure (POSCAR):
```
KAl2Bi
1.0
8.8603 0.0000 0.0000
0.0000 8.8603 0.0000
4.4301 4.4301 3.2357
Al Bi K
4 2 2
Direct
0.0687 0.6250 0.2500
0.6813 0.1250 0.2500
0.8750 0.9313 0.7500
0.3750 0.3187 0.7500
0.7500 0.2500 0.5000
0.0000 0.0000 0.0000
0.2500 0.7500 0.5000
0.5000 0.5000 0.0000
```

Values from the calculation:
Total moment (μB/atom): 0.00
Formation energy from the elements (eV per atom): 0.281

=====

22.
K3AlBi | PBE-GGA | relaxed

Structure (POSCAR):
```
K3AlBi
1.0
6.7920 0.0000 0.0000
0.0000 6.7920 0.0000
0.0000 0.0000 6.7920
K Bi Al
3 1 1
Direct
0.5000 0.0000 0.0000
0.0000 0.5000 0.0000
0.0000 0.0000 0.5000
0.0000 0.0000 0.0000
0.5000 0.5000 0.5000
```

Values from the calculation:
Total moment (μB/atom): 0.20
Formation energy from the elements (eV per atom): 0.332

=====

23.
KLaAlBiO6 | PBE-GGA | relaxed

Structure (POSCAR):
```
KLaAlBiO6
1.0
0.0000 4.0164 4.0164
4.0164 0.0000 4.0164
4.0164 4.0164 0.0000
La O K Al Bi
1 6 1 1 1
Direct
0.2500 0.2500 0.2500
0.7616 0.2384 0.2384
0.7616 0.7616 0.2384
0.2384 0.7616 0.7616
0.7616 0.2384 0.7616
0.2384 0.2384 0.7616
0.2384 0.7616 0.2384
0.7500 0.7500 0.7500
0.0000 0.0000 0.0000
0.5000 0.5000 0.5000
```

Values from the calculation:
Total moment (μB/atom): 0.00
Formation energy from raw total energies (eV/atom): -2.06